(1)
# TaAlIr3 (PBE-GGA, relaxed)
# - ΔE to the lowest computed polymorph (meV/atom) = 0
# - E_form (meV per atom) = 749.6
# - magnetic moment (μB/cell) = 0.00
# - D(E_F) (states/eV/f.u.) = 10.250
# - electronic total energy (eV/atom) = -7.69
data_TaAlIr3
_space_group_name_H-M_alt 'P m -3 m'
_space_group_IT_number 221
_space_group_name_Hall '-P 4 2 3'
_cell_length_a 4.408
_cell_length_b 4.408
_cell_length_c 4.408
_cell_angle_alpha 90.00
_cell_angle_beta 90.00
_cell_angle_gamma 90.00
loop_
_atom_site_label
_atom_site_type_symbol
_atom_site_fract_x
_atom_site_fract_y
_atom_site_fract_z
Ta1 Ta 0.000 0.000 0.000
Al1 Al 0.500 0.500 0.500
Ir1 Ir 0.000 0.500 0.500

(2)
# Ta2AlIr (PBE-GGA, relaxed)
# - E_form (meV per atom) = -366.1
# - magnetic moment (μB/cell) = 0.00
# - D(E_F) (states/eV/f.u.) = 1.355
# - electronic total energy (eV/atom) = -9.44
data_Ta2AlIr
_space_group_name_H-M_alt 'C 1 m 1'
_space_group_IT_number 8
_space_group_name_Hall 'C -2y'
_cell_length_a 10.270
_cell_length_b 2.943
_cell_length_c 4.770
_cell_angle_alpha 90.00
_cell_angle_beta 113.80
_cell_angle_gamma 90.00
loop_
_atom_site_label
_atom_site_type_symbol
_atom_site_fract_x
_atom_site_fract_y
_atom_site_fract_z
Ta1 Ta 0.000 0.000 0.000
Ta2 Ta 0.241 0.000 0.767
Al1 Al 0.270 0.500 0.293
Ir1 Ir 0.495 0.000 0.490

(3)
# TaAl2Ir (PBE-GGA, relaxed)
# - ΔE to the lowest computed polymorph (meV/atom) = 129
# - E_form (meV per atom) = -474.6
# - magnetic moment (μB/cell) = 0.00
# - D(E_F) (states/eV/f.u.) = 2.518
# - electronic total energy (eV/atom) = -7.52
data_TaAl2Ir
_space_group_name_H-M_alt 'P 4/m m m'
_space_group_IT_number 123
_space_group_name_Hall '-P 4 2'
_cell_length_a 3.988
_cell_length_b 3.988
_cell_length_c 3.880
_cell_angle_alpha 90.00
_cell_angle_beta 90.00
_cell_angle_gamma 90.00
loop_
_atom_site_label
_atom_site_type_symbol
_atom_site_fract_x
_atom_site_fract_y
_atom_site_fract_z
Ta1 Ta 0.000 0.000 0.000
Al1 Al 0.000 0.500 0.500
Ir1 Ir 0.500 0.500 0.000

(4)
# TaAl2Ir (PBE-GGA, relaxed)
# - ΔE to the lowest computed polymorph (meV/atom) = 191
# - E_form (meV per atom) = -413.5
# - magnetic moment (μB/cell) = 0.00
# - D(E_F) (states/eV/f.u.) = 1.828
# - electronic total energy (eV/atom) = -7.46
data_TaAl2Ir
_space_group_name_H-M_alt 'C 1 m 1'
_space_group_IT_number 8
_space_group_name_Hall 'C -2y'
_cell_length_a 9.195
_cell_length_b 2.947
_cell_length_c 4.728
_cell_angle_alpha 90.00
_cell_angle_beta 103.73
_cell_angle_gamma 90.00
loop_
_atom_site_label
_atom_site_type_symbol
_atom_site_fract_x
_atom_site_fract_y
_atom_site_fract_z
Ta1 Ta 0.000 0.000 0.000
Al1 Al 0.242 0.000 0.747
Al2 Al 0.489 0.000 0.500
Ir1 Ir 0.249 0.500 0.279